Record 1
Entry from Alexandria via LeMat-Bulk: an optimized crystal structure of MnWAu2 (PBE).

```
data_MnWAu2
_cell_length_a 2.789
_cell_length_b 4.987
_cell_length_c 5.778
_cell_angle_alpha 54.83
_cell_angle_beta 90.00
_cell_angle_gamma 90.00
_space_group_name_H-M_alt 'P 1'
_space_group_IT_number 1
loop_
_space_group_symop_operation_xyz
'x,y,z'
loop_
_atom_site_label
_atom_site_type_symbol
_atom_site_fract_x
_atom_site_fract_y
_atom_site_fract_z
_atom_site_occupancy
W1 W 0.000 0.000 0.500 1
Au1 Au 0.000 0.000 0.000 1
Au2 Au 0.500 0.500 0.000 1
Mn1 Mn 0.500 0.500 0.500 1
```

Output
calculated total energy	-6.77	eV/atom
V	16.42	Å³/atom
density of states at the Fermi level	1.0892	states/eV/atom
size of the total moment	2.7	Bohr magnetons per cell
polymorph energy (0 for the lowest one)	0.210	eV per atom
calculated formation energy	0.401	eV/atom

Record 2
Entry from Alexandria via LeMat-Bulk: an optimized crystal structure of KLa2Mo (PBE).

```
data_KLa2Mo
_cell_length_a 6.995
_cell_length_b 6.995
_cell_length_c 6.995
_cell_angle_alpha 151.35
_cell_angle_beta 121.96
_cell_angle_gamma 65.99
_space_group_name_H-M_alt 'P 1'
_space_group_IT_number 1
loop_
_space_group_symop_operation_xyz
'x,y,z'
loop_
_atom_site_label
_atom_site_type_symbol
_atom_site_fract_x
_atom_site_fract_y
_atom_site_fract_z
_atom_site_occupancy
K1 K 0.750 0.250 0.500 1
La1 La 0.440 0.440 0.000 1
La2 La 0.060 0.060 0.000 1
Mo1 Mo 0.250 0.750 0.500 1
```

Output
calculated total energy	-4.74	eV/atom
V	34.45	Å³/atom
density of states at the Fermi level	1.0910	states/eV/atom
size of the total moment	0.1	Bohr magnetons per cell
polymorph energy (0 for the lowest one)	0.348	eV per atom
calculated formation energy	0.704	eV/atom

Record 3
Entry from Alexandria via LeMat-Bulk: an optimized crystal structure of Sc5Cu2Sb (PBE).

```
data_Sc5Cu2Sb
_cell_length_a 7.409
_cell_length_b 7.409
_cell_length_c 7.986
_cell_angle_alpha 117.64
_cell_angle_beta 117.64
_cell_angle_gamma 90.00
_space_group_name_H-M_alt 'P 1'
_space_group_IT_number 1
loop_
_space_group_symop_operation_xyz
'x,y,z'
loop_
_atom_site_label
_atom_site_type_symbol
_atom_site_fract_x
_atom_site_fract_y
_atom_site_fract_z
_atom_site_occupancy
Sc1 Sc 0.203 0.013 0.716 1
Sc2 Sc 0.703 0.203 0.716 1
Sc3 Sc 0.297 0.797 0.284 1
Sc4 Sc 0.513 0.703 0.716 1
Sc5 Sc 0.500 0.500 0.000 1
Sc6 Sc 0.987 0.487 0.284 1
Sc7 Sc 0.000 0.000 0.000 1
Sc8 Sc 0.797 0.987 0.284 1
Sc9 Sc 0.013 0.513 0.716 1
Sc10 Sc 0.487 0.297 0.284 1
Cu1 Cu 0.868 0.632 0.000 1
Cu2 Cu 0.632 0.132 0.000 1
Cu3 Cu 0.368 0.868 0.000 1
Cu4 Cu 0.132 0.368 0.000 1
Sb1 Sb 0.750 0.750 0.500 1
Sb2 Sb 0.250 0.250 0.500 1
```

Output
calculated total energy	-5.92	eV/atom
V	20.68	Å³/atom
density of states at the Fermi level	1.1895	states/eV/atom
size of the total moment	0.0	Bohr magnetons per cell

Record 4
Entry from Alexandria via LeMat-Bulk: an optimized crystal structure of Ti4Co (PBE).

```
data_Ti4Co
_cell_length_a 5.982
_cell_length_b 5.982
_cell_length_c 6.085
_cell_angle_alpha 105.56
_cell_angle_beta 105.56
_cell_angle_gamma 117.02
_space_group_name_H-M_alt 'P 1'
_space_group_IT_number 1
loop_
_space_group_symop_operation_xyz
'x,y,z'
loop_
_atom_site_label
_atom_site_type_symbol
_atom_site_fract_x
_atom_site_fract_y
_atom_site_fract_z
_atom_site_occupancy
Ti1 Ti 0.646 0.484 0.762 1
Ti2 Ti 0.186 0.928 0.660 1
Ti3 Ti 0.268 0.526 0.340 1
Ti4 Ti 0.734 0.396 0.262 1
Ti5 Ti 0.776 0.018 0.840 1
Ti6 Ti 0.721 0.883 0.238 1
Ti7 Ti 0.178 0.936 0.160 1
Ti8 Ti 0.133 0.471 0.738 1
Co1 Co 0.332 0.332 0.000 1
Co2 Co 0.582 0.082 0.500 1
```

Output
calculated total energy	-7.72	eV/atom
V	16.65	Å³/atom
density of states at the Fermi level	1.5181	states/eV/atom
size of the total moment	0.0	Bohr magnetons per cell
polymorph energy (0 for the lowest one)	0.000	eV per atom
calculated formation energy	0.013	eV/atom

Record 5
Entry from Alexandria via LeMat-Bulk: an optimized crystal structure of HoSiPt2 (PBE).

```
data_HoSiPt2
_cell_length_a 4.213
_cell_length_b 4.213
_cell_length_c 5.475
_cell_angle_alpha 67.37
_cell_angle_beta 67.37
_cell_angle_gamma 60.00
_space_group_name_H-M_alt 'P 1'
_space_group_IT_number 1
loop_
_space_group_symop_operation_xyz
'x,y,z'
loop_
_atom_site_label
_atom_site_type_symbol
_atom_site_fract_x
_atom_site_fract_y
_atom_site_fract_z
_atom_site_occupancy
Pt1 Pt 0.711 0.711 0.866 1
Pt2 Pt 0.289 0.289 0.134 1
Ho1 Ho 0.500 0.500 0.500 1
Si1 Si 0.000 0.000 0.000 1
```

Output
calculated total energy	-6.52	eV/atom
V	18.85	Å³/atom
density of states at the Fermi level	0.5966	states/eV/atom
size of the total moment	0.0	Bohr magnetons per cell